# PrB2Ru

PrB2Ru after structural relaxation (PBE, the Alexandria database).

Unit cell a=3.700 b=3.700 c=5.396 alpha=69.95 beta=69.95 gamma=60.00
Sites, in units of the cell vectors:
Pr (0.500, 0.500, 0.500)
Ru (0.000, 0.000, 0.000)
B (0.302, 0.302, 0.094)
B (0.698, 0.698, 0.906)

## Properties
- total magnetic moment (μB/f.u.) = 0.00
- uncorrected energy (eV per atom) = -6.989
- offset from the most stable computed form (eV per atom) = 0.070
- formation energy from the elements (eV/atom) = -0.14



# Dy2Si2HgRh5

Dy2Si2HgRh5 after structural relaxation (PBE, the Alexandria database).

Unit cell a=3.522 b=9.800 c=9.800 alpha=90.00 beta=90.00 gamma=90.00
Sites, in units of the cell vectors:
Dy (0.000, 0.675, 0.175)
Dy (0.000, 0.325, 0.825)
Dy (0.000, 0.175, 0.325)
Dy (0.000, 0.825, 0.675)
Si (0.000, 0.123, 0.623)
Si (0.000, 0.877, 0.377)
Si (0.000, 0.623, 0.877)
Si (0.000, 0.377, 0.123)
Hg (0.000, 0.000, 0.000)
Hg (0.000, 0.500, 0.500)
Rh (0.500, 0.218, 0.069)
Rh (0.500, 0.782, 0.931)
Rh (0.500, 0.069, 0.782)
Rh (0.500, 0.718, 0.431)
Rh (0.500, 0.931, 0.218)
Rh (0.500, 0.282, 0.569)
Rh (0.500, 0.569, 0.718)
Rh (0.500, 0.431, 0.282)
Rh (0.500, 0.500, 0.000)
Rh (0.500, 0.000, 0.500)

## Properties
- E_form (uncorrected) (eV/f.u.) = -8.8
- total magnetic moment (μB/f.u.) = 0.00
- uncorrected energy (eV per atom) = -6.593



# LiDy2Al3Pt4

LiDy2Al3Pt4 after structural relaxation (PBE, the Alexandria database).

Unit cell a=4.053 b=4.053 c=11.126 alpha=90.00 beta=90.00 gamma=90.00
Sites, in units of the cell vectors:
Li (0.500, 0.500, 0.500)
Dy (0.500, 0.000, 0.255)
Dy (0.000, 0.500, 0.745)
Al (0.000, 0.000, 0.500)
Al (0.500, 0.000, 0.869)
Al (0.000, 0.500, 0.131)
Pt (0.500, 0.500, 0.000)
Pt (0.000, 0.000, 0.000)
Pt (0.500, 0.000, 0.645)
Pt (0.000, 0.500, 0.355)

## Properties
- total magnetic moment (μB/f.u.) = 0.00
- uncorrected energy (eV per atom) = -5.688
- formation energy from the elements (eV/atom) = -1.04